The following is a DFT calculation (PBE) of a relaxed CsNa2Co crystal.

Structure (POSCAR):
```
CsNa2Co
1.0
0.000 4.193 4.193
4.193 0.000 4.193
4.193 4.193 0.000
Na Co Cs
2 1 1
Cartesian
6.290 6.290 6.290 Na
2.097 2.097 2.097 Na
0.000 0.000 0.000 Co
4.193 4.193 4.193 Cs
```

Results
As for the energy relative to the elements: 806 meV per atom. Its total moment is 1.9 μB per cell. The space group is Fm-3m, No. 225. The value obtained for the total energy is -1.843 eV per atom.